VASP calculation (meta-GGA SCAN) on a crystal of KAlIr3 relaxed with PBEsol.

The density comes out at 11.11 Mg/m³. The value obtained for the formation energy from the elements is 3.20 eV/atom. Its final energy is -42.677 eV per atom.

a = 4.5803 Å, b = 4.5803 Å, c = 4.5803 Å
α = 90.00°, β = 90.00°, γ = 90.00°
Last column: nearest neighbours and their distance in Å.
Element x y z (fractional)
Ir  0.0000  0.0000  0.5000  2 K 2.29
Ir  0.0000  0.5000  0.0000  2 K 2.29
Al  0.5000  0.5000  0.5000  12 Ir 3.24
Ir  0.5000  0.0000  0.0000  2 K 2.29
K  0.0000  0.0000  0.0000  6 Ir 2.29

***

VASP calculation (meta-GGA SCAN) on a crystal of ZrCo2PPt relaxed with PBEsol.

The density comes out at 8.05 Mg/m³. The value obtained for the formation energy from the elements is 1.40 eV/atom. Its final energy is -27.779 eV per atom.

a = 4.3365 Å, b = 4.3365 Å, c = 4.7730 Å
α = 90.00°, β = 90.00°, γ = 90.00°
Last column: nearest neighbours and their distance in Å.
Element x y z (fractional)
Zr  0.0000  0.0000  0.0000  4 Co 2.17, 2 P 2.39
P  0.0000  0.0000  0.5000  2 Zr 2.39
Co  0.0000  0.5000  0.0000  2 Zr 2.17
Co  0.5000  0.0000  0.0000  2 Zr 2.17
Pt  0.5000  0.5000  0.5000  4 P 3.07, 8 Co 3.22